1.
## Rb3PuO4 (PBE)

Data for Rb3PuO4 after structural relaxation.

Results
Total magnetic moment in μB/cell: 6.00
E_form (uncorrected) in eV per atom: -1.8677
Uncorrected energy in eV for the cell shown: -104.02
E above lowest polymorph in eV/atom: 0.192

Lattice parameters (Å, degrees): 6.686 9.708 6.387 90.00 90.00 90.00
Space group Imm2 (No. 44)
Unique sites:
Rb 0.000 0.000 0.000
Rb 0.000 0.224 0.482
Pu 0.000 0.500 0.000
O 0.000 0.299 0.049
O 0.245 0.500 0.819

2.
## BeCrIr (PBE)

Data for BeCrIr after structural relaxation.

Results
Total magnetic moment in μB/cell: 0.00
Energy of formation from the pure elements in kJ/mol of formula units: -47.3
Uncorrected energy in eV for the cell shown: -22.70
E above lowest polymorph in eV/atom: 0.124

Lattice parameters (Å, degrees): 3.9318 3.9318 2.6516 90.00 90.00 120.00
Space group P-6m2 (No. 187)
Unique sites:
Be 0.0000 0.0000 0.0000
Cr 0.6667 0.3333 0.5000
Ir 0.3333 0.6667 0.0000

3.
## AlBSb2Te (PBE)

Data for AlBSb2Te after structural relaxation.

Results
Total magnetic moment in μB/cell: 0.00
E_form (uncorrected) in eV per atom: 0.7377
Uncorrected energy in eV for the cell shown: -18.12
E above lowest polymorph in eV/atom: 0.000

Lattice parameters (Å, degrees): 4.882 4.882 4.868 90.00 90.00 90.00
Space group P4/mmm (No. 123)
Unique sites:
Al 0.000 0.000 0.000
B 0.500 0.500 0.500
Sb 0.000 0.500 0.500
Te 0.500 0.500 0.000

4.
## Li5Sb (PBE)

Data for Li5Sb after structural relaxation.

Results
Total magnetic moment in μB/cell: 0.00
E_form (uncorrected) in eV per atom: -0.1993
Uncorrected energy in eV for the cell shown: -14.89
E above lowest polymorph in eV/atom: 0.212

Lattice parameters (Å, degrees): 3.573 3.573 9.518 90.00 90.00 90.00
Space group P4/mmm (No. 123)
Unique sites:
Li 0.000 0.000 0.000
Li 0.000 0.000 0.348
Li 0.500 0.500 0.181
Sb 0.500 0.500 0.500

5.
## Pa2CuNi (PBE)

Data for Pa2CuNi after structural relaxation.

Results
Total magnetic moment in μB/cell: 0.00
Energy of formation from the pure elements in kJ/mol of formula units: -18.8
Uncorrected energy in eV for the cell shown: -29.06
E above lowest polymorph in eV/atom: 0.010

Lattice parameters (Å, degrees): 4.288 4.288 4.055 90.00 90.00 90.00
Space group P4/mmm (No. 123)
Unique sites:
Pa 0.000 0.500 0.000
Cu 0.000 0.000 0.500
Ni 0.500 0.500 0.500

6.
## SmHoNiIr (PBE)

Data for SmHoNiIr after structural relaxation.

Results
Total magnetic moment in μB/cell: 0.00
Energy of formation from the pure elements in kJ/mol of formula units: -238.5
Uncorrected energy in eV for the cell shown: -52.82

Lattice parameters (Å, degrees): 4.101 3.898 10.694 90.00 90.00 90.00
Space group Amm2 (No. 38)
Unique sites:
Sm 0.000 0.000 0.000
Ho 0.500 0.000 0.716
Ni 0.500 0.000 0.429
Ir 0.000 0.000 0.279

7.
## Pm3Cd7Pd4 (PBE)

Data for Pm3Cd7Pd4 after structural relaxation.

Results
Total magnetic moment in μB/cell: 0.00
Energy of formation from the pure elements in kJ/mol of formula units: -669.9
Uncorrected energy in eV for the cell shown: -96.74

Lattice parameters (Å, degrees): 16.103 4.455 10.522 90.00 124.00 90.00
Space group C2/m (No. 12)
Unique sites:
Pm 0.000 0.000 0.000
Pm 0.201 0.500 0.715
Cd 0.000 0.000 0.500
Cd 0.014 0.500 0.314
Cd 0.164 0.000 0.434
Cd 0.175 0.500 0.010
Pd 0.111 0.000 0.821
Pd 0.160 0.500 0.255

8.
## SrSbPd3 (PBE)

Data for SrSbPd3 after structural relaxation.

Results
Total magnetic moment in μB/cell: 0.00
E_form (uncorrected) in eV per atom: 0.7969
Uncorrected energy in eV for the cell shown: -17.40
E above lowest polymorph in eV/atom: 1.421

Lattice parameters (Å, degrees): 5.132 5.132 5.132 90.00 90.00 90.00
Space group Pm-3m (No. 221)
Unique sites:
Sr 0.000 0.000 0.000
Sb 0.500 0.500 0.500
Pd 0.000 0.000 0.500